Record 1
RbYNi2Sn: PBEsol geometry, SCAN.

Output
* mass density: 6.1 g cm⁻³
* formation energy: 1.592 eV per atom

a b c (Å): 4.5950 4.5950 5.2942
angles (deg): 90.00 90.00 90.00
Last column: nearest neighbours and their distance in Å.
Space group P4/mmm (No. 123)
Unique sites:
Rb 0.0000 0.0000 0.0000 x1  4 Ni 2.30
Y 0.0000 0.0000 0.5000 x1  2 Rb 2.65
Ni 0.0000 0.5000 0.0000 x2  2 Rb 2.30
Sn 0.5000 0.5000 0.5000 x1  4 Y 3.25, 8 Ni 3.51

***

Record 2
TaPd2Cl: PBEsol geometry, SCAN.

Output
* mass density: 10.9 g cm⁻³
* formation energy without anion corrections: 368 meV per atom

a b c (Å): 6.3888 6.3888 6.3888
angles (deg): 90.00 90.00 90.00
Last column: nearest neighbours and their distance in Å.
Space group Fm-3m (No. 225)
Unique sites:
Ta 0.0000 0.0000 0.0000 x4  8 Pd 2.77
Pd 0.2500 0.2500 0.2500 x8  4 Ta 2.77, 4 Cl 2.77
Cl 0.0000 0.0000 0.5000 x4  8 Pd 2.77

***

Record 3
BaZrAg2: PBEsol geometry, SCAN.

Output
* mass density: 7.5 g cm⁻³
* formation energy: -0.037 eV per atom
* offset from the most stable computed form: 0.000 eV/atom

a b c (Å): 3.5420 3.5420 7.8250
angles (deg): 90.00 90.00 90.00
Last column: nearest neighbours and their distance in Å.
Space group P4/mmm (No. 123)
Unique sites:
Ba 0.0000 0.0000 0.0000 x1  8 Ag 3.49, 4 Ba 3.54
Zr 0.0000 0.0000 0.5000 x1  8 Ag 2.91
Ag 0.5000 0.5000 0.3110 x2  4 Zr 2.91, 1 Ag 2.96

***

Record 4
SrNi2Rh: PBEsol geometry, SCAN.

Output
* mass density: 6.8 g cm⁻³
* formation energy: -0.094 eV per atom
* offset from the most stable computed form: 0.000 eV/atom

a b c (Å): 4.1309 4.1309 15.1759
angles (deg): 90.00 90.00 120.00
Last column: nearest neighbours and their distance in Å.
Space group R-3m (No. 166, hexagonal axes)
Unique sites:
Sr 0.0000 0.0000 0.0000 x3  2 Ni 2.85
Ni 0.0000 0.0000 0.1876 x6  3 Rh 2.41, 3 Ni 2.47
Rh 0.0000 0.0000 0.5000 x3  6 Ni 2.41

***

Record 5
BaMg2Al: PBEsol geometry, SCAN.

Output
* mass density: 3.3 g cm⁻³
* formation energy: 0.016 eV per atom

a b c (Å): 7.5564 7.5564 7.5564
angles (deg): 90.00 90.00 90.00
Last column: nearest neighbours and their distance in Å.
Space group F-43m (No. 216)
Unique sites:
Ba 0.0000 0.0000 0.0000 x4  4 Al 3.27, 4 Mg 3.27
Mg 0.0000 0.0000 0.5000 x4  4 Mg 3.27, 4 Al 3.27
Mg 0.2500 0.2500 0.7500 x4  4 Ba 3.27, 4 Mg 3.27
Al 0.2500 0.2500 0.2500 x4  4 Mg 3.27, 4 Ba 3.27

***

Record 6
BaTeW2: PBEsol geometry, SCAN.

Output
* mass density: 12.1 g cm⁻³
* formation energy without anion corrections: 1426 meV per atom

a b c (Å): 3.1416 3.1416 30.4407
angles (deg): 90.00 90.00 120.00
Last column: nearest neighbours and their distance in Å.
Space group R-3m (No. 166, hexagonal axes)
Unique sites:
Ba 0.0000 0.0000 0.0000 x3  6 Ba 3.14, 6 W 3.51
Te 0.0000 0.0000 0.5000 x3  6 W 2.75
W 0.0000 0.0000 0.2346 x6  3 Te 2.75

***

Record 7
BaP4Pd2: PBEsol geometry, SCAN.

Output
* mass density: 5.8 g cm⁻³
* formation energy: -0.747 eV per atom

a b c (Å): 6.8020 6.8020 5.8911
angles (deg): 90.00 90.00 90.00
Last column: nearest neighbours and their distance in Å.
Space group I4/mmm (No. 139)
Unique sites:
Ba 0.0000 0.0000 0.0000 x2  8 P 3.33, 8 Pd 3.71
P 0.0000 0.2278 0.5000 x8  2 P 2.19, 2 Pd 2.37
Pd 0.0000 0.5000 0.2500 x4  4 P 2.37

***

Record 8
TlCd3: PBEsol geometry, SCAN.

Output
* mass density: 9.7 g cm⁻³
* formation energy: 0.065 eV per atom

a b c (Å): 6.3422 9.5498 6.1381
angles (deg): 90.00 90.00 90.00
Last column: nearest neighbours and their distance in Å.
Space group Pnma (No. 62)
Unique sites:
Tl 0.0471 0.2500 0.1172 x4  9 Cd 3.06-3.32
Cd 0.1064 0.2500 0.6228 x4  6 Cd 2.97-3.02, 3 Tl 3.06-3.16
Cd 0.2045 0.5120 0.3663 x8  6 Cd 2.97-3.13, 3 Tl 3.10-3.32

***

Record 9
SrV2P2O10: PBEsol geometry, SCAN.

Output
* mass density: 4.0 g cm⁻³
* formation energy without anion corrections: -2780 meV per atom

a b c (Å): 11.8942 15.9386 7.2208
angles (deg): 90.00 90.00 90.00
Last column: nearest neighbours and their distance in Å.
Space group Fdd2 (No. 43)
Unique sites:
Sr 0.0000 0.0000 0.0000 x8  8 O 2.44-2.73
V 0.1113 0.1185 0.6059 x16  1 O 1.64
P 0.0001 0.2096 0.9949 x16  4 O 1.54-1.55
O 0.0011 0.0844 0.4926 x16  1 V 1.64
O 0.0110 0.1503 0.8268 x16  1 P 1.54
O 0.0140 0.3471 0.6675 x16  1 P 1.55
O 0.1036 0.2318 0.4836 x16  1 P 1.55
O 0.1062 0.2659 0.0062 x16  1 P 1.55

***

Record 10
LaSc2Tl2: PBEsol geometry, SCAN.

Output
* mass density: 8.2 g cm⁻³
* formation energy: -0.439 eV per atom
* offset from the most stable computed form: 0.046 eV/atom

a b c (Å): 8.7767 8.7767 3.3430
angles (deg): 90.00 90.00 90.00
Last column: nearest neighbours and their distance in Å.
Space group P4/mbm (No. 127)
Unique sites:
La 0.0000 0.0000 0.0000 x2  4 Tl 3.29, 2 La 3.34
Sc 0.1374 0.3626 0.5000 x4  6 Tl 3.00-3.12, 2 Sc 3.34
Tl 0.1619 0.6619 0.0000 x4  6 Sc 3.00-3.12, 2 La 3.29, 2 Tl 3.34

***

Record 11
KCa2Cd: PBEsol geometry, SCAN.

Output
* mass density: 2.5 g cm⁻³
* formation energy: -0.145 eV per atom

a b c (Å): 3.8368 3.8368 10.4138
angles (deg): 90.00 90.00 90.00
Last column: nearest neighbours and their distance in Å.
Space group P4/mmm (No. 123)
Unique sites:
K 0.0000 0.0000 0.0000 x1  4 K 3.84
Ca 0.5000 0.5000 0.3280 x2  4 Cd 3.25, 1 Ca 3.58
Cd 0.0000 0.0000 0.5000 x1  8 Ca 3.25

***

Record 12
MnGaFeO4: PBEsol geometry, SCAN.

Output
* mass density: 5.7 g cm⁻³
* formation energy without anion corrections: -1887 meV per atom

a b c (Å): 5.7257 5.8984 8.4250
angles (deg): 90.00 90.00 90.00
Last column: nearest neighbours and their distance in Å.
Space group Imma (No. 74)
Unique sites:
Mn 0.0000 0.2500 0.1274 x4  4 O 1.97-2.00
Ga 0.0000 0.0000 0.5000 x4  6 O 1.99-2.00
Fe 0.2500 0.2500 0.7500 x4  6 O 1.94-1.95
O 0.0000 0.0276 0.7367 x8  2 Fe 1.94, 1 Mn 2.00, 1 Ga 2.00
O 0.2308 0.2500 0.5187 x8  1 Fe 1.95, 1 Mn 1.97, 2 Ga 1.99